# CoBPO2

A relaxed CoBPO2 crystal (GGA+U, the Alexandria database).

Unit cell a=3.0474 b=3.0474 c=7.8372 alpha=90.00 beta=90.00 gamma=90.00
Last column: nearest neighbours and their distance in Å.
Fractional coordinates of all 5 atoms:
Co1 0.0000 0.0000 0.0000  4 P 2.15
B1 0.5000 0.5000 0.5000  4 O 1.52
P1 0.5000 0.5000 0.0000  4 Co 2.15
O1 0.0000 0.5000 0.5000  2 B 1.52
O2 0.5000 0.0000 0.5000  2 B 1.52

Properties
ΔE to the lowest computed polymorph: 0.000 eV per atom
Total energy: -27.55 eV/cell
Volume: 73 Å³ per cell